UV2PbO8 | GGA+U | relaxed

Unit cell a=5.8345 b=5.8345 c=7.0923 alpha=90.00 beta=90.00 gamma=120.00
Closest atoms and distances in Å follow each position.
Sites, in units of the cell vectors:
U1 0.0000 0.0000 0.5000  6 O 2.19
V1 0.6667 0.3333 0.2181  4 O 1.66-1.79
V2 0.3333 0.6667 0.7819  4 O 1.66-1.79
Pb1 0.0000 0.0000 0.0000  6 O 2.70
O1 0.3333 0.6667 0.0161  1 V 1.66
O2 0.3306 0.1662 0.2999  1 V 1.79
O3 0.8338 0.1643 0.2999  1 V 1.79
O4 0.6667 0.3333 0.9839  1 V 1.66
O5 0.1662 0.8357 0.7001  1 V 1.79
O6 0.6694 0.8338 0.7001  1 V 1.79
O7 0.1643 0.3306 0.7001  1 V 1.79
O8 0.8357 0.6694 0.2999  1 V 1.79

Summary:
The calculation puts the magnetization at 2.0 μB/f.u. The space group is P-3. For the total DFT energy (no corrections), the calculation gives -7.901 eV per atom.